1.
This record from Alexandria describes an optimized crystal structure of ZrSc3Ge. The functional is PBE.

Cell and atoms, written as CIF:
```
data_ZrSc3Ge
_cell_length_a 5.1095
_cell_length_b 5.1095
_cell_length_c 5.1095
_cell_angle_alpha 90.00
_cell_angle_beta 90.00
_cell_angle_gamma 90.00
_symmetry_space_group_name_H-M 'P m -3 m'
_symmetry_Int_Tables_number 221
_symmetry_space_group_name_Hall '-P 4 2 3'
loop_
_atom_site_label
_atom_site_fract_x
_atom_site_fract_y
_atom_site_fract_z
Zr1 0.0000 0.0000 0.0000
Sc1 0.0000 0.0000 0.5000
Ge1 0.5000 0.5000 0.5000
```

Summary:
* total energy: -5.6083 eV per atom
* distance to the lowest polymorph of the same formula: 309.3 kJ/mol of formula units
* DFT formation energy: 0.8238 eV per atom

---

2.
This record from Alexandria describes an optimized crystal structure of ZrSc2Ge2. The functional is PBE.

Cell and atoms, written as CIF:
```
data_ZrSc2Ge2
_cell_length_a 11.8442
_cell_length_b 4.2415
_cell_length_c 9.4615
_cell_angle_alpha 90.00
_cell_angle_beta 119.82
_cell_angle_gamma 90.00
_symmetry_space_group_name_H-M 'C 1 2/m 1'
_symmetry_Int_Tables_number 12
loop_
_symmetry_equiv_pos_as_xyz
'x,y,z'
'-x,-y,-z'
'-x,y,-z'
'x,-y,z'
'x+1/2,y+1/2,z'
'-x+1/2,-y+1/2,-z'
'-x+1/2,y+1/2,-z'
'x+1/2,-y+1/2,z'
loop_
_atom_site_label
_atom_site_fract_x
_atom_site_fract_y
_atom_site_fract_z
Zr1 0.2146 0.0000 0.3474
Sc1 0.0112 0.5000 0.6807
Sc2 0.2016 0.5000 0.0881
Ge1 0.0492 0.0000 0.8995
Ge2 0.1237 0.0000 0.5673
```

Summary:
* total energy: -6.7216 eV per atom
* distance to the lowest polymorph of the same formula: 54.3 kJ/mol of formula units
* DFT formation energy: -0.6324 eV per atom

---

3.
This record from Alexandria describes an optimized crystal structure of GeSe. The functional is PBE.

Cell and atoms, written as CIF:
```
data_GeSe
_cell_length_a 6.3413
_cell_length_b 6.3413
_cell_length_c 6.3413
_cell_angle_alpha 90.00
_cell_angle_beta 90.00
_cell_angle_gamma 90.00
_symmetry_space_group_name_H-M 'F -4 3 m'
_symmetry_Int_Tables_number 216
_symmetry_space_group_name_Hall 'F -4 2 3'
loop_
_atom_site_label
_atom_site_fract_x
_atom_site_fract_y
_atom_site_fract_z
Ge1 0.0000 0.0000 0.0000
Se1 0.2500 0.2500 0.7500
```

Summary:
* total energy: -4.0401 eV per atom
* formation energy (no corrections): 0.01 eV/atom

---

4.
This record from Alexandria describes an optimized crystal structure of GeSe. The functional is PBE.

Cell and atoms, written as CIF:
```
data_GeSe
_cell_length_a 6.5876
_cell_length_b 3.8049
_cell_length_c 8.9833
_cell_angle_alpha 90.00
_cell_angle_beta 104.39
_cell_angle_gamma 90.00
_symmetry_space_group_name_H-M 'C 1 2/m 1'
_symmetry_Int_Tables_number 12
loop_
_symmetry_equiv_pos_as_xyz
'x,y,z'
'-x,-y,-z'
'-x,y,-z'
'x,-y,z'
'x+1/2,y+1/2,z'
'-x+1/2,-y+1/2,-z'
'-x+1/2,y+1/2,-z'
'x+1/2,-y+1/2,z'
loop_
_atom_site_label
_atom_site_fract_x
_atom_site_fract_y
_atom_site_fract_z
Ge1 0.1275 0.0000 0.3843
Se1 0.0919 0.5000 0.7713
```

Summary:
* total energy: -4.3084 eV per atom
* formation energy (no corrections): -0.26 eV/atom

---

5.
This record from Alexandria describes an optimized crystal structure of GeSe2. The functional is PBE.

Cell and atoms, written as CIF:
```
data_GeSe2
_cell_length_a 7.2122
_cell_length_b 17.4024
_cell_length_c 12.9375
_cell_angle_alpha 90.00
_cell_angle_beta 91.19
_cell_angle_gamma 90.00
_symmetry_space_group_name_H-M 'P 1 21/c 1'
_symmetry_Int_Tables_number 14
loop_
_symmetry_equiv_pos_as_xyz
'x,y,z'
'-x,-y,-z'
'-x,y+1/2,-z+1/2'
'x,-y+1/2,z+1/2'
loop_
_atom_site_label
_atom_site_fract_x
_atom_site_fract_y
_atom_site_fract_z
Ge1 0.1448 0.1514 0.2727
Ge2 0.1738 0.0009 0.7912
Ge3 0.3267 0.1568 0.7178
Ge4 0.3540 0.6874 0.2277
Se1 0.1050 0.6611 0.1077
Se2 0.1351 0.2451 0.1377
Se3 0.1502 0.0272 0.1932
Se4 0.2303 0.1173 0.8862
Se5 0.2723 0.0401 0.6229
Se6 0.3497 0.6855 0.7987
Se7 0.3611 0.5993 0.3692
Se8 0.3967 0.1741 0.3920
```

Summary:
* total energy: -4.1370 eV per atom
* formation energy (no corrections): -0.27 eV/atom

---

6.
This record from Alexandria describes an optimized crystal structure of GeSe2. The functional is PBE.

Cell and atoms, written as CIF:
```
data_GeSe2
_cell_length_a 11.5859
_cell_length_b 24.1948
_cell_length_c 8.7675
_cell_angle_alpha 90.00
_cell_angle_beta 90.00
_cell_angle_gamma 90.00
_symmetry_space_group_name_H-M 'F d d 2'
_symmetry_Int_Tables_number 43
_symmetry_space_group_name_Hall 'F 2 -2d'
loop_
_atom_site_label
_atom_site_fract_x
_atom_site_fract_y
_atom_site_fract_z
Ge1 0.0000 0.0000 0.0000
Ge2 0.1147 0.1119 0.2316
Se1 0.0387 0.4271 0.3206
Se2 0.0802 0.2717 0.3957
Se3 0.0891 0.3716 0.7468
```

Summary:
* total energy: -4.1304 eV per atom
* formation energy (no corrections): -0.27 eV/atom